Co2NiBr: relaxed, PBE-GGA.

extended XYZ file:
```
12
Lattice="2.880 0.000 0.000 -1.440 2.494 0.000 0.000 0.000 23.219" Properties=species:S:1:pos:R:3 pbc="T T T"
Co 0.000 0.000 5.701
Co 0.000 0.000 17.518
Co 0.000 1.663 9.778
Co 0.000 1.663 21.181
Co 1.440 0.831 2.038
Co 1.440 0.831 13.441
Ni 0.000 0.000 11.610
Ni 0.000 1.663 3.870
Ni 1.440 0.831 19.349
Br 0.000 0.000 0.000
Br 0.000 1.663 15.480
Br 1.440 0.831 7.740
```

Summary:
magnetization = 11.93 μB/cell
volume = 167 Å³ per cell
E_form (uncorrected) = 672 meV/atom
energy above the lowest structure with this stoichiometry = 270 meV per atom

=====

LiAcPaO4: relaxed, PBE-GGA.

extended XYZ file:
```
14
Lattice="-3.726 3.880 3.822 3.726 -3.880 3.822 3.726 3.880 -3.822" Properties=species:S:1:pos:R:3 pbc="T T T"
Li 0.000 0.000 0.000
Li 0.000 3.880 0.000
Ac 3.726 1.940 1.389
Ac 0.000 1.940 2.433
Pa 1.863 1.940 -1.911
Pa 1.863 -1.940 1.911
O 3.726 -0.536 1.801
O 3.726 3.343 -1.801
O 1.505 1.940 0.291
O 2.221 -1.940 4.113
O 1.505 5.819 -0.291
O 2.221 1.940 3.532
O 0.000 0.536 5.623
O 0.000 4.416 2.021
```

Summary:
magnetization = 2.00 μB/cell
volume = 221 Å³ per cell
E_form (uncorrected) = -3026 meV/atom

=====

NaCo2W: relaxed, PBE-GGA.

extended XYZ file:
```
16
Lattice="6.001 0.000 0.000 0.000 6.001 0.000 0.000 0.000 6.001" Properties=species:S:1:pos:R:3 pbc="T T T"
Na 0.000 0.000 0.000
Na 0.000 3.000 3.000
Na 3.000 0.000 3.000
Na 3.000 3.000 0.000
Co 1.500 1.500 1.500
Co 1.500 1.500 4.501
Co 1.500 4.501 1.500
Co 1.500 4.501 4.501
Co 4.501 1.500 1.500
Co 4.501 1.500 4.501
Co 4.501 4.501 1.500
Co 4.501 4.501 4.501
W 0.000 0.000 3.000
W 0.000 3.000 0.000
W 3.000 0.000 0.000
W 3.000 3.000 3.000
```

Summary:
magnetization = 4.09 μB/cell
energy of formation from the pure elements = 272 kJ/mol of formula units
volume = 216 Å³ per cell
energy above the lowest structure with this stoichiometry = 0 meV per atom

=====

KNaPd: relaxed, PBE-GGA.

extended XYZ file:
```
12
Lattice="11.715 0.000 0.000 0.000 4.839 0.000 -5.008 0.000 6.625" Properties=species:S:1:pos:R:3 pbc="T T T"
K -0.785 0.000 2.301
K 1.634 2.419 4.324
K 5.072 2.419 2.301
K 7.492 0.000 4.324
Na 1.932 2.419 0.568
Na -1.082 0.000 6.056
Na 7.789 0.000 0.568
Na 4.775 2.419 6.056
Pd -1.847 2.419 4.485
Pd 2.697 0.000 2.139
Pd 4.010 0.000 4.485
Pd 8.554 2.419 2.139
```

Summary:
magnetization = 0.00 μB/cell
energy of formation from the pure elements = 5 kJ/mol of formula units
volume = 376 Å³ per cell

=====

PmThTe2O: relaxed, PBE-GGA.

extended XYZ file:
```
10
Lattice="4.321 0.000 0.000 0.000 4.321 0.000 0.000 0.000 14.937" Properties=species:S:1:pos:R:3 pbc="T T T"
Pm 1.080 1.080 1.025
Pm 3.240 3.240 13.912
Th 1.080 1.080 8.976
Th 3.240 3.240 5.960
Te 1.080 1.080 5.626
Te 1.080 1.080 12.017
Te 3.240 3.240 2.920
Te 3.240 3.240 9.311
O 1.080 3.240 0.000
O 3.240 1.080 0.000
```

Summary:
magnetization = 0.00 μB/cell
volume = 279 Å³ per cell
E_form (uncorrected) = -1925 meV/atom

=====

TiNbAs: relaxed, PBE-GGA.

extended XYZ file:
```
6
Lattice="2.774 0.000 0.000 0.000 2.774 0.000 0.000 0.000 14.503" Properties=species:S:1:pos:R:3 pbc="T T T"
Ti 0.000 0.000 0.000
Ti 1.387 1.387 7.252
Nb 0.000 0.000 11.792
Nb 1.387 1.387 4.540
As 0.000 0.000 9.124
As 1.387 1.387 1.872
```

Summary:
magnetization = 0.37 μB/cell
energy of formation from the pure elements = 83 kJ/mol of formula units
volume = 112 Å³ per cell

=====

SrCu2P: relaxed, PBE-GGA.

extended XYZ file:
```
4
Lattice="4.037 0.000 0.000 0.000 4.455 0.000 0.000 0.000 4.770" Properties=species:S:1:pos:R:3 pbc="T T T"
Sr 0.000 0.000 0.000
Cu 2.019 2.228 1.197
Cu 2.019 2.228 3.573
P 0.000 2.228 2.385
```

Summary:
magnetization = 0.00 μB/cell
energy of formation from the pure elements = -124 kJ/mol of formula units
volume = 86 Å³ per cell

=====

La5Dy2Er2: relaxed, PBE-GGA.

extended XYZ file:
```
9
Lattice="3.655 0.000 0.000 0.003 5.187 0.000 1.813 2.582 16.287" Properties=species:S:1:pos:R:3 pbc="T T T"
La 0.000 0.000 0.000
La 1.821 2.588 9.052
La 1.824 2.593 1.878
La 3.647 5.176 14.409
La 3.650 5.181 7.236
Dy 1.821 2.590 5.401
Dy 3.650 5.179 10.886
Er 1.821 2.584 12.599
Er 3.650 5.185 3.688
```

Summary:
magnetization = 0.00 μB/cell
energy of formation from the pure elements = 24 kJ/mol of formula units
volume = 309 Å³ per cell